(1)
Computed, not measured: a relaxed Pr5Nd2YTm crystal at the PBE level of DFT.

a = 8.634 Å, b = 8.634 Å, c = 10.532 Å
α = 114.20°, β = 114.20°, γ = 90.00°
Fractional positions:
Tm 0.750 0.250 0.500
Tm 0.250 0.750 0.500
Pr 0.576 0.636 0.712
Pr 0.364 0.864 0.288
Pr 0.924 0.424 0.288
Pr 0.000 0.000 0.000
Pr 0.500 0.500 0.000
Pr 0.636 0.136 0.712
Pr 0.076 0.576 0.712
Pr 0.864 0.924 0.288
Pr 0.424 0.364 0.288
Pr 0.136 0.076 0.712
Nd 0.123 0.377 0.000
Nd 0.623 0.123 0.000
Nd 0.377 0.877 0.000
Nd 0.877 0.623 0.000
Y 0.750 0.750 0.500
Y 0.250 0.250 0.500

Computed properties:
Calculated formation energy = 0.272 eV/atom
Space group = No. 140
Raw total energy = -83.8 eV for the cell shown

=====

(2)
Computed, not measured: a relaxed Pr2NdYTm5 crystal at the PBE level of DFT.

a = 8.613 Å, b = 8.613 Å, c = 9.912 Å
α = 115.75°, β = 115.75°, γ = 90.00°
Fractional positions:
Tm 0.429 0.350 0.279
Tm 0.150 0.071 0.721
Tm 0.571 0.650 0.721
Tm 0.929 0.429 0.279
Tm 0.850 0.929 0.279
Tm 0.350 0.850 0.279
Tm 0.650 0.150 0.721
Tm 0.500 0.500 0.000
Tm 0.000 0.000 0.000
Tm 0.071 0.571 0.721
Pr 0.119 0.381 0.000
Pr 0.619 0.119 0.000
Pr 0.881 0.619 0.000
Pr 0.381 0.881 0.000
Y 0.250 0.250 0.500
Y 0.750 0.750 0.500
Nd 0.250 0.750 0.500
Nd 0.750 0.250 0.500

Computed properties:
Calculated formation energy = 0.256 eV/atom
Space group = No. 140
Raw total energy = -81.7 eV for the cell shown

=====

(3)
Computed, not measured: a relaxed PrNd3Y6Tm2 crystal at the PBE level of DFT.

a = 6.231 Å, b = 6.231 Å, c = 11.892 Å
α = 95.00°, β = 95.00°, γ = 119.98°
Fractional positions:
Tm 0.333 0.667 0.000
Tm 0.667 0.333 0.000
Y 0.917 0.583 0.753
Y 0.583 0.917 0.753
Y 0.417 0.083 0.247
Y 0.252 0.252 0.753
Y 0.748 0.748 0.247
Y 0.083 0.417 0.247
Nd 0.500 0.500 0.500
Nd 0.833 0.167 0.500
Nd 0.167 0.833 0.500
Pr 0.000 0.000 0.000

Computed properties:
Calculated formation energy = 0.018 eV/atom
Space group = No. 12
Raw total energy = -66.6 eV for the cell shown

=====

(4)
Computed, not measured: a relaxed PrNd6Y2Tm crystal at the PBE level of DFT.

a = 9.597 Å, b = 8.991 Å, c = 8.991 Å
α = 116.33°, β = 92.99°, γ = 92.99°
Fractional positions:
Nd 0.615 0.478 0.707
Nd 0.314 0.997 0.442
Nd 0.385 0.522 0.293
Nd 0.115 0.707 0.478
Nd 0.885 0.293 0.522
Nd 0.442 0.238 0.885
Nd 0.814 0.442 0.997
Nd 0.942 0.885 0.238
Nd 0.558 0.762 0.115
Nd 0.686 0.003 0.558
Nd 0.058 0.115 0.762
Nd 0.186 0.558 0.003
Tm 0.750 0.588 0.412
Tm 0.250 0.412 0.588
Y 0.052 0.300 0.206
Y 0.448 0.794 0.700
Y 0.948 0.700 0.794
Y 0.552 0.206 0.300
Pr 0.750 0.034 0.966
Pr 0.250 0.966 0.034

Computed properties:
Calculated formation energy = 0.115 eV/atom
Space group = No. 15
Raw total energy = -99.3 eV for the cell shown

=====

(5)
Computed, not measured: a relaxed Pr6NdY3Tm2 crystal at the PBE level of DFT.

a = 6.324 Å, b = 6.324 Å, c = 11.938 Å
α = 95.05°, β = 95.05°, γ = 120.00°
Fractional positions:
Pr 0.418 0.084 0.250
Pr 0.582 0.916 0.750
Pr 0.250 0.250 0.751
Pr 0.916 0.582 0.750
Pr 0.084 0.418 0.250
Pr 0.750 0.750 0.249
Y 0.833 0.167 0.500
Y 0.167 0.833 0.500
Y 0.500 0.500 0.500
Nd 0.000 0.000 0.000
Tm 0.667 0.333 0.000
Tm 0.333 0.667 0.000

Computed properties:
Calculated formation energy = 0.011 eV/atom
Space group = No. 12
Raw total energy = -61.6 eV for the cell shown

=====

(6)
Computed, not measured: a relaxed Pr2Nd4YTm2 crystal at the PBE level of DFT.

a = 5.159 Å, b = 8.159 Å, c = 8.091 Å
α = 107.65°, β = 90.00°, γ = 108.43°
Fractional positions:
Pr 0.888 0.776 0.331
Pr 0.112 0.224 0.669
Y 0.000 0.000 0.000
Nd 0.445 0.889 0.670
Nd 0.555 0.111 0.330
Nd 0.778 0.556 0.671
Nd 0.222 0.444 0.329
Tm 0.667 0.335 0.000
Tm 0.333 0.665 0.000

Computed properties:
Calculated formation energy = 0.024 eV/atom
Space group = No. 12
Raw total energy = -43.8 eV for the cell shown

=====

(7)
Computed, not measured: a relaxed PrNd2Y6Tm crystal at the PBE level of DFT.

a = 9.793 Å, b = 8.822 Å, c = 8.822 Å
α = 117.58°, β = 94.72°, γ = 94.72°
Fractional positions:
Y 0.443 0.258 0.878
Y 0.883 0.297 0.509
Y 0.186 0.571 0.016
Y 0.314 0.984 0.429
Y 0.617 0.491 0.703
Y 0.117 0.703 0.491
Y 0.943 0.878 0.258
Y 0.383 0.509 0.297
Y 0.557 0.742 0.122
Y 0.814 0.429 0.984
Y 0.686 0.016 0.571
Y 0.057 0.122 0.742
Nd 0.954 0.705 0.804
Nd 0.454 0.804 0.705
Nd 0.046 0.295 0.196
Nd 0.546 0.196 0.295
Tm 0.750 0.593 0.407
Tm 0.250 0.407 0.593
Pr 0.750 0.019 0.981
Pr 0.250 0.981 0.019

Computed properties:
Calculated formation energy = 0.111 eV/atom
Space group = No. 15
Raw total energy = -112.9 eV for the cell shown

=====

(8)
Computed, not measured: a relaxed PrNdY6Tm2 crystal at the PBE level of DFT.

a = 9.518 Å, b = 8.823 Å, c = 8.823 Å
α = 116.33°, β = 93.24°, γ = 93.24°
Fractional positions:
Tm 0.947 0.701 0.802
Tm 0.447 0.802 0.701
Tm 0.053 0.299 0.198
Tm 0.553 0.198 0.299
Y 0.057 0.114 0.758
Y 0.320 0.987 0.440
Y 0.443 0.242 0.886
Y 0.557 0.758 0.114
Y 0.113 0.705 0.481
Y 0.613 0.481 0.705
Y 0.820 0.440 0.987
Y 0.943 0.886 0.242
Y 0.180 0.560 0.013
Y 0.887 0.295 0.519
Y 0.680 0.013 0.560
Y 0.387 0.519 0.295
Nd 0.750 0.590 0.410
Nd 0.250 0.410 0.590
Pr 0.250 0.967 0.033
Pr 0.750 0.033 0.967

Computed properties:
Calculated formation energy = 0.119 eV/atom
Space group = No. 15
Raw total energy = -112.2 eV for the cell shown

=====

(9)
Computed, not measured: a relaxed PrNd4Y2Tm2 crystal at the PBE level of DFT.

a = 3.627 Å, b = 9.545 Å, c = 8.867 Å
α = 89.91°, β = 90.00°, γ = 100.95°
Fractional positions:
Tm 0.669 0.337 0.000
Tm 0.331 0.663 0.000
Y 0.112 0.224 0.671
Y 0.888 0.776 0.329
Nd 0.444 0.888 0.667
Nd 0.778 0.556 0.669
Nd 0.556 0.112 0.333
Nd 0.222 0.444 0.331
Pr 0.000 0.000 0.000

Computed properties:
Calculated formation energy = 0.019 eV/atom
Space group = No. 12
Raw total energy = -45.6 eV for the cell shown

=====

(10)
Computed, not measured: a relaxed Pr5NdYTm2 crystal at the PBE level of DFT.

a = 5.675 Å, b = 10.713 Å, c = 10.814 Å
α = 90.00°, β = 90.00°, γ = 105.36°
Fractional positions:
Pr 0.705 0.410 0.204
Pr 0.986 0.971 0.519
Pr 0.612 0.224 0.524
Pr 0.280 0.560 0.310
Pr 0.482 0.964 0.745
Pr 0.720 0.440 0.810
Pr 0.014 0.029 0.019
Pr 0.295 0.590 0.704
Pr 0.388 0.776 0.024
Pr 0.518 0.036 0.245
Y 0.592 0.184 0.962
Y 0.408 0.816 0.462
Tm 0.885 0.769 0.809
Tm 0.889 0.778 0.241
Tm 0.111 0.222 0.741
Tm 0.115 0.231 0.309
Nd 0.202 0.403 0.010
Nd 0.798 0.597 0.510

Computed properties:
Calculated formation energy = 0.149 eV/atom
Space group = No. 36
Raw total energy = -85.5 eV for the cell shown

=====

(11)
Computed, not measured: a relaxed Pr6Nd2YTm crystal at the PBE level of DFT.

a = 9.851 Å, b = 9.072 Å, c = 9.072 Å
α = 118.28°, β = 94.11°, γ = 94.11°
Fractional positions:
Y 0.750 0.022 0.978
Y 0.250 0.978 0.022
Pr 0.192 0.571 0.011
Pr 0.692 0.011 0.571
Pr 0.447 0.243 0.877
Pr 0.883 0.291 0.501
Pr 0.053 0.123 0.757
Pr 0.947 0.877 0.243
Pr 0.617 0.499 0.709
Pr 0.308 0.989 0.429
Pr 0.553 0.757 0.123
Pr 0.117 0.709 0.499
Pr 0.383 0.501 0.291
Pr 0.808 0.429 0.989
Nd 0.957 0.701 0.803
Nd 0.457 0.803 0.701
Nd 0.543 0.197 0.299
Nd 0.043 0.299 0.197
Tm 0.250 0.410 0.590
Tm 0.750 0.590 0.410

Computed properties:
Calculated formation energy = 0.111 eV/atom
Space group = No. 15
Raw total energy = -96.1 eV for the cell shown

=====

(12)
Computed, not measured: a relaxed Pr2Nd6YTm crystal at the PBE level of DFT.

a = 9.858 Å, b = 9.026 Å, c = 9.026 Å
α = 118.34°, β = 94.21°, γ = 94.21°
Fractional positions:
Pr 0.542 0.196 0.300
Pr 0.958 0.700 0.804
Pr 0.458 0.804 0.700
Pr 0.042 0.300 0.196
Y 0.250 0.980 0.020
Y 0.750 0.020 0.980
Nd 0.309 0.985 0.427
Nd 0.191 0.573 0.015
Nd 0.809 0.427 0.985
Nd 0.946 0.875 0.246
Nd 0.446 0.246 0.875
Nd 0.691 0.015 0.573
Nd 0.118 0.709 0.500
Nd 0.054 0.125 0.754
Nd 0.618 0.500 0.709
Nd 0.554 0.754 0.125
Nd 0.882 0.291 0.500
Nd 0.382 0.500 0.291
Tm 0.750 0.591 0.409
Tm 0.250 0.409 0.591

Computed properties:
Calculated formation energy = 0.112 eV/atom
Space group = No. 15
Raw total energy = -96.0 eV for the cell shown